# TbNdSm2Y6 | the Alexandria database | PBE-GGA | optimized geometry
data_TbNdSm2Y6
_space_group_name_H-M_alt 'C 1 2/c 1'
_space_group_IT_number 15
_cell_length_a 9.963
_cell_length_b 20.482
_cell_length_c 6.500
_cell_angle_alpha 90.00
_cell_angle_beta 92.15
_cell_angle_gamma 90.00
loop_
_space_group_symop_operation_xyz
'x,y,z'
'-x,-y,-z'
'-x,y,-z+1/2'
'x,-y,z+1/2'
'x+1/2,y+1/2,z'
'-x+1/2,-y+1/2,-z'
'-x+1/2,y+1/2,-z+1/2'
'x+1/2,-y+1/2,z+1/2'
loop_
_atom_site_label
_atom_site_fract_x
_atom_site_fract_y
_atom_site_fract_z
_atom_site_occupancy
Tb1 0.000 0.002 0.250 1
Nd1 0.000 0.297 0.250 1
Sm1 0.244 0.409 0.451 1
Y1 0.067 0.143 0.006 1
Y2 0.114 0.434 0.950 1
Y3 0.177 0.271 0.740 1
# **Final energy**: -5.6521 eV per atom
# **Total moment**: 0.0 μB/f.u.